Record 1
Crystalline Li2AlSi2Pt5 at its relaxed geometry. Source: the Alexandria database, functional PBE-GGA.

Formation energy from raw total energies, meV/atom: -748.3

a b c (Å): 9.168 9.168 3.616
angles (deg): 90.00 90.00 90.00
Space group P4/mbm (No. 127)
One atom of each set of equivalent atoms:
Li (0.169, 0.331, 0.000)
Al (0.000, 0.000, 0.000)
Si (0.130, 0.630, 0.000)
Pt (0.000, 0.500, 0.500)
Pt (0.074, 0.799, 0.500)

***

Record 2
Crystalline LiSmAlPt3 at its relaxed geometry. Source: the Alexandria database, functional PBE-GGA.

Formation enthalpy at 0 K, eV per atom: -0.787

a b c (Å): 5.707 12.915 5.796
angles (deg): 90.00 90.00 90.00
Space group Cmcm (No. 63)
One atom of each set of equivalent atoms:
Li (0.000, 0.120, 0.250)
Sm (0.000, 0.330, 0.250)
Al (0.000, 0.388, 0.750)
Pt (0.000, 0.197, 0.750)
Pt (0.238, 0.000, 0.000)

***

Calculated total energy in order - -5.610 -5.537 eV/atom